SiHgOsI2: relaxed, PBE-GGA.

Geometry as POSCAR:
```
SiHgOsI2
1.0
-1.041 -4.999 -2.792
4.613 -0.782 -0.319
-0.126 -2.817 5.091
I Si Os Hg
2 1 1 1
Direct
0.000 0.000 0.500 I
0.500 0.000 0.000 I
0.000 0.000 0.000 Si
0.000 0.500 0.000 Os
0.500 0.500 0.500 Hg
```

Results
As for the uncorrected formation energy: 0.993 eV/atom. Its space-group type is No. 123.